The following is a PBE calculation of crystalline Pm2Pr6Sm3Dy at its relaxed geometry, from the Alexandria database.

Computed properties:
The calculation puts the energy of formation from the pure elements at 0.01 eV per atom. For the total moment, the calculation gives 0.00 Bohr magnetons per cell. The calculation puts the mass density at 6.94 Mg/m³. The raw total energy comes out at -113.59 eV/cell.

Cell: 6.3656 11.0283 12.1120 Å, 90.00 100.11 90.00°
Closest atoms and distances in Å follow each position.
Space group C2/m (No. 12)
Asymmetric unit:
Pm (0.0000, 0.1667, 0.0000) x4  6 Pr 3.66, 3 Pm 3.67-3.68, 3 Dy 3.68
Pr (0.2494, 0.5000, 0.7501) x4  1 Dy 3.66, 3 Sm 3.66, 2 Pm 3.66, 6 Pr 3.67-3.68
Pr (0.2504, 0.1662, 0.7504) x8  1 Dy 3.65, 2 Pm 3.66, 3 Sm 3.66-3.67, 6 Pr 3.67-3.68
Sm (0.0000, 0.0000, 0.5000) x2  6 Pr 3.66, 6 Sm 3.67-3.68
Sm (0.0000, 0.3335, 0.5000) x4  6 Pr 3.66-3.67, 6 Sm 3.67-3.68
Dy (0.0000, 0.5000, 0.0000) x2  6 Pr 3.65-3.66, 6 Pm 3.68



The following is a PBE calculation of crystalline RbNiPtCl6 at its relaxed geometry, from the Alexandria database.

Computed properties:
For the total moment, the calculation gives 6.02 Bohr magnetons per cell. The calculation puts the mass density at 3.53 Mg/m³. For the uncorrected formation energy, the calculation gives -0.78 eV per atom. The raw total energy comes out at -61.83 eV/cell.

Cell: 6.4687 10.7696 7.4619 Å, 90.00 91.69 90.00°
Closest atoms and distances in Å follow each position.
Space group C2 (No. 5)
Asymmetric unit:
Rb (0.0000, 0.0000, 0.0000) x2  6 Cl 3.29-3.35
Ni (0.0000, 0.3342, 0.5000) x2  6 Cl 2.34-2.46
Pt (0.0000, 0.6711, 0.5000) x2  4 Cl 2.35-2.36
Cl (0.1334, 0.5084, 0.6779) x4  1 Pt 2.35, 1 Ni 2.44
Cl (0.1668, 0.1954, 0.6978) x4  1 Ni 2.34
Cl (0.1805, 0.8226, 0.6707) x4  1 Pt 2.36, 1 Ni 2.46



The following is a PBE calculation of crystalline K3Tm3IrO8 at its relaxed geometry, from the Alexandria database.

Computed properties:
For the total moment, the calculation gives 3.18 Bohr magnetons per cell. The calculation puts the mass density at 6.50 Mg/m³. For the uncorrected formation energy, the calculation gives -2.39 eV per atom. The raw total energy comes out at -303.28 eV/cell.

Cell: 6.6666 6.6666 18.7939 Å, 90.00 90.00 120.00°
Closest atoms and distances in Å follow each position.
Space group R-3m (No. 166, hexagonal axes)
Asymmetric unit:
K (0.0000, 0.5000, 0.0000) x9  6 O 2.77-2.78
Tm (0.0000, 0.5000, 0.5000) x9  6 O 2.23-2.27
Ir (0.0000, 0.0000, 0.5000) x3  6 O 2.11
O (0.0000, 0.0000, 0.2267) x6  3 Tm 2.23
O (0.0210, 0.5105, 0.2246) x18  1 Ir 2.11, 2 Tm 2.27